Record 1
Material: HfMgTaSn2
Method: DFT, PBE
State: relaxed

```
data_HfMgTaSn2
_cell_length_a 4.9836
_cell_length_b 4.9836
_cell_length_c 5.1648
_cell_angle_alpha 90.00
_cell_angle_beta 90.00
_cell_angle_gamma 90.00
_symmetry_space_group_name_H-M 'P 4/m m m'
_symmetry_Int_Tables_number 123
_symmetry_space_group_name_Hall '-P 4 2'
loop_
_atom_site_label
_atom_site_type_symbol
_atom_site_fract_x
_atom_site_fract_y
_atom_site_fract_z
_atom_site_occupancy
Hf1 Hf 0.0000 0.0000 0.0000 1
Mg1 Mg 0.0000 0.0000 0.5000 1
Ta1 Ta 0.5000 0.5000 0.0000 1
Sn1 Sn 0.0000 0.5000 0.5000 1
```

Values from the calculation:
Formation energy from the elements ... 1423 meV per atom


Record 2
Material: MnHgBi2Rh
Method: DFT, PBE
State: relaxed

```
data_MnHgBi2Rh
_cell_length_a 5.1985
_cell_length_b 5.1985
_cell_length_c 4.7163
_cell_angle_alpha 90.00
_cell_angle_beta 90.00
_cell_angle_gamma 90.00
_symmetry_space_group_name_H-M 'P 4/m m m'
_symmetry_Int_Tables_number 123
_symmetry_space_group_name_Hall '-P 4 2'
loop_
_atom_site_label
_atom_site_type_symbol
_atom_site_fract_x
_atom_site_fract_y
_atom_site_fract_z
_atom_site_occupancy
Mn1 Mn 0.0000 0.0000 0.0000 1
Hg1 Hg 0.5000 0.5000 0.5000 1
Bi1 Bi 0.0000 0.5000 0.0000 1
Rh1 Rh 0.0000 0.0000 0.5000 1
```

Values from the calculation:
Formation energy from the elements ... 633 meV per atom


Record 3
Material: As2Pb4Br
Method: DFT, PBE
State: relaxed

```
data_As2Pb4Br
_cell_length_a 13.7083
_cell_length_b 9.2083
_cell_length_c 8.9952
_cell_angle_alpha 90.00
_cell_angle_beta 130.70
_cell_angle_gamma 90.00
_symmetry_space_group_name_H-M 'C 1 2 1'
_symmetry_Int_Tables_number 5
_symmetry_space_group_name_Hall 'C 2y'
loop_
_atom_site_label
_atom_site_type_symbol
_atom_site_fract_x
_atom_site_fract_y
_atom_site_fract_z
_atom_site_occupancy
As1 As 0.0542 0.0000 0.3006 1
As2 As 0.2174 0.7396 0.8478 1
Pb1 Pb 0.0748 0.6945 0.4059 1
Pb2 Pb 0.1053 0.2908 0.2349 1
Pb3 Pb 0.1683 0.0647 0.7280 1
Pb4 Pb 0.1764 0.9395 0.1070 1
Br1 Br 0.0000 0.3676 0.5000 1
Br2 Br 0.0000 0.6176 0.0000 1
```

Values from the calculation:
Formation energy without anion corrections ... -0.159 eV per atom


Record 4
Material: CdHIN2
Method: DFT, PBE
State: relaxed

```
data_CdHIN2
_cell_length_a 4.4101
_cell_length_b 4.4101
_cell_length_c 6.4055
_cell_angle_alpha 90.00
_cell_angle_beta 90.00
_cell_angle_gamma 90.00
_symmetry_space_group_name_H-M 'P 4/m m m'
_symmetry_Int_Tables_number 123
_symmetry_space_group_name_Hall '-P 4 2'
loop_
_atom_site_label
_atom_site_type_symbol
_atom_site_fract_x
_atom_site_fract_y
_atom_site_fract_z
_atom_site_occupancy
Cd1 Cd 0.0000 0.0000 0.0000 1
H1 H 0.5000 0.5000 0.5000 1
I1 I 0.0000 0.0000 0.5000 1
N1 N 0.0000 0.5000 0.0000 1
```

Values from the calculation:
DFT total energy ... -2.505 eV per atom


Record 5
Material: HfIOF2
Method: DFT, PBE
State: relaxed

```
data_HfIOF2
_cell_length_a 4.3680
_cell_length_b 4.3680
_cell_length_c 4.1366
_cell_angle_alpha 90.00
_cell_angle_beta 90.00
_cell_angle_gamma 90.00
_symmetry_space_group_name_H-M 'P 4/m m m'
_symmetry_Int_Tables_number 123
_symmetry_space_group_name_Hall '-P 4 2'
loop_
_atom_site_label
_atom_site_type_symbol
_atom_site_fract_x
_atom_site_fract_y
_atom_site_fract_z
_atom_site_occupancy
Hf1 Hf 0.0000 0.0000 0.0000 1
I1 I 0.5000 0.5000 0.5000 1
O1 O 0.0000 0.0000 0.5000 1
F1 F 0.0000 0.5000 0.0000 1
```

Values from the calculation:
Formation energy without anion corrections ... -2.304 eV per atom


Record 6
Material: Zn2GaNO
Method: DFT, PBE
State: relaxed

```
data_Zn2GaNO
_cell_length_a 3.9455
_cell_length_b 3.9455
_cell_length_c 4.4847
_cell_angle_alpha 90.00
_cell_angle_beta 90.00
_cell_angle_gamma 90.00
_symmetry_space_group_name_H-M 'P 4/m m m'
_symmetry_Int_Tables_number 123
_symmetry_space_group_name_Hall '-P 4 2'
loop_
_atom_site_label
_atom_site_type_symbol
_atom_site_fract_x
_atom_site_fract_y
_atom_site_fract_z
_atom_site_occupancy
Zn1 Zn 0.0000 0.5000 0.0000 1
Ga1 Ga 0.0000 0.0000 0.5000 1
N1 N 0.5000 0.5000 0.5000 1
O1 O 0.5000 0.5000 0.0000 1
```

Values from the calculation:
Formation energy without anion corrections ... 0.658 eV per atom